K2TlIr | meta-GGA SCAN | single point on PBEsol structure

a = 3.5661 Å, b = 5.2526 Å, c = 5.5324 Å
α = 90.00°, β = 98.12°, γ = 90.00°
Positions (direct):
K  0.0966  0.0000  0.2683
K  0.9034  0.0000  0.7317
Tl  0.5000  0.5000  0.0000
Ir  0.5000  0.5000  0.5000

Offset from the most stable computed form   0.3090 eV/atom
Symmetry   P2/m, No. 10
Total energy   -157.87 eV/cell
Calculated density   7.69 g/cm³
Magnetic moment   0.00 μB/f.u.

KTl2Ir | meta-GGA SCAN | single point on PBEsol structure

a = 8.3147 Å, b = 8.3147 Å, c = 8.3147 Å
α = 158.49°, β = 148.75°, γ = 38.25°
Positions (direct):
K  0.0000  0.0000  0.0000
Tl  0.3215  0.8215  0.5000
Tl  0.6568  0.6568  0.0000
Ir  0.8090  0.3090  0.5000

Symmetry   Imm2, No. 44
Total energy   -223.38 eV/cell
Calculated density   9.73 g/cm³
Magnetic moment   0.00 μB/f.u.

KTlIr | meta-GGA SCAN | single point on PBEsol structure

a = 4.7565 Å, b = 4.7565 Å, c = 4.7565 Å
α = 60.00°, β = 60.00°, γ = 60.00°
Positions (direct):
K  0.0000  0.0000  0.0000
Tl  0.5000  0.5000  0.5000
Ir  0.2500  0.2500  0.2500

Offset from the most stable computed form   0.0000 eV/atom
Symmetry   F-43m, No. 216
Total energy   -149.65 eV/cell
Calculated density   9.51 g/cm³
Magnetic moment   0.53 μB/f.u.

KTl2Ir | meta-GGA SCAN | single point on PBEsol structure

a = 4.6628 Å, b = 4.6628 Å, c = 4.2035 Å
α = 90.00°, β = 90.00°, γ = 90.00°
Positions (direct):
K  0.0000  0.0000  0.0000
Tl  0.0000  0.5000  0.5000
Tl  0.5000  0.0000  0.5000
Ir  0.5000  0.5000  0.0000

Symmetry   P4/mmm, No. 123
Total energy   -221.63 eV/cell
Calculated density   11.63 g/cm³
Magnetic moment   0.00 μB/f.u.

K2TlIr | meta-GGA SCAN | single point on PBEsol structure

a = 3.7516 Å, b = 3.7516 Å, c = 9.8662 Å
α = 90.00°, β = 90.00°, γ = 90.00°
Positions (direct):
K  0.0000  0.0000  0.0000
K  0.5000  0.5000  0.4102
Tl  0.0000  0.0000  0.6834
Ir  0.5000  0.5000  0.7238

Offset from the most stable computed form   0.1049 eV/atom
Symmetry   P4mm, No. 99
Total energy   -158.68 eV/cell
Calculated density   5.68 g/cm³
Magnetic moment   0.04 μB/f.u.

KTl2Ir | meta-GGA SCAN | single point on PBEsol structure

a = 3.1894 Å, b = 4.2848 Å, c = 8.2407 Å
α = 90.00°, β = 90.00°, γ = 90.00°
Positions (direct):
K  0.0000  0.0000  0.0000
Tl  0.0000  0.0000  0.6109
Tl  0.5000  0.5000  0.3081
Ir  0.5000  0.5000  0.6377

Symmetry   Pmm2, No. 25
Total energy   -223.12 eV/cell
Calculated density   9.44 g/cm³
Magnetic moment   0.00 μB/f.u.

K2TlIr | meta-GGA SCAN | single point on PBEsol structure

a = 6.1394 Å, b = 6.1394 Å, c = 6.1394 Å
α = 139.82°, β = 139.82°, γ = 58.13°
Positions (direct):
K  0.2500  0.7500  0.5000
K  0.7500  0.2500  0.5000
Tl  0.0000  0.0000  0.0000
Ir  0.5000  0.5000  0.0000

Offset from the most stable computed form   0.3032 eV/atom
Symmetry   I4/mmm, No. 139
Total energy   -157.89 eV/cell
Calculated density   8.26 g/cm³
Magnetic moment   0.00 μB/f.u.

KIr4W | meta-GGA SCAN | single point on PBEsol structure

a = 5.1860 Å, b = 5.1860 Å, c = 5.1860 Å
α = 60.00°, β = 60.00°, γ = 60.00°
Positions (direct):
K  0.0000  0.0000  0.0000
Ir  0.1244  0.6252  0.6252
Ir  0.6252  0.1244  0.6252
Ir  0.6252  0.6252  0.1244
Ir  0.6252  0.6252  0.6252
W  0.2500  0.2500  0.2500

Symmetry   F-43m, No. 216
Total energy   -358.30 eV/cell
Calculated density   16.70 g/cm³
Magnetic moment   0.00 μB/f.u.

K2YIr | meta-GGA SCAN | single point on PBEsol structure

a = 4.1115 Å, b = 4.1115 Å, c = 11.1928 Å
α = 99.70°, β = 99.70°, γ = 59.62°
Positions (direct):
K  0.0000  0.0000  0.0000
K  0.1958  0.1958  0.6197
Y  0.4277  0.4277  0.3027
Ir  0.7263  0.7263  0.1921

Symmetry   Cm, No. 8
Total energy   -115.32 eV/cell
Calculated density   3.73 g/cm³
Magnetic moment   0.00 μB/f.u.

KZnIr2 | meta-GGA SCAN | single point on PBEsol structure

a = 2.6004 Å, b = 4.0331 Å, c = 7.2486 Å
α = 90.00°, β = 90.00°, γ = 90.00°
Positions (direct):
K  0.0000  0.0000  0.0000
Zn  0.0000  0.0000  0.5000
Ir  0.5000  0.5000  0.3287
Ir  0.5000  0.5000  0.6713

Symmetry   Pmmm, No. 47
Total energy   -162.12 eV/cell
Calculated density   10.68 g/cm³
Magnetic moment   0.00 μB/f.u.

KZnIr2 | meta-GGA SCAN | single point on PBEsol structure

a = 2.7667 Å, b = 2.7667 Å, c = 9.2709 Å
α = 90.00°, β = 90.00°, γ = 90.00°
Positions (direct):
K  0.0000  0.0000  0.0000
Zn  0.5000  0.5000  0.3215
Ir  0.0000  0.0000  0.5236
Ir  0.5000  0.5000  0.7114

Symmetry   P4mm, No. 99
Total energy   -162.79 eV/cell
Calculated density   11.44 g/cm³
Magnetic moment   0.00 μB/f.u.

K3ZnIr | meta-GGA SCAN | single point on PBEsol structure

a = 5.9886 Å, b = 5.9886 Å, c = 5.9886 Å
α = 90.00°, β = 90.00°, γ = 90.00°
Positions (direct):
K  0.0000  0.0000  0.5000
K  0.0000  0.5000  0.0000
K  0.5000  0.0000  0.0000
Zn  0.5000  0.5000  0.5000
Ir  0.0000  0.0000  0.0000

Symmetry   Pm-3m, No. 221
Total energy   -105.54 eV/cell
Calculated density   2.90 g/cm³
Magnetic moment   0.38 μB/f.u.

KZn2Ir | meta-GGA SCAN | single point on PBEsol structure

a = 2.6252 Å, b = 4.9951 Å, c = 5.5567 Å
α = 90.00°, β = 90.00°, γ = 90.00°
Positions (direct):
K  0.0000  0.0000  0.0000
Zn  0.0000  0.5000  0.5000
Zn  0.5000  0.5000  0.0000
Ir  0.5000  0.0000  0.5000

Offset from the most stable computed form   0.5647 eV/atom
Symmetry   Pmmm, No. 47
Total energy   -103.99 eV/cell
Calculated density   8.25 g/cm³
Magnetic moment   0.00 μB/f.u.

KZnIr2 | meta-GGA SCAN | single point on PBEsol structure

a = 2.7166 Å, b = 2.7166 Å, c = 9.0655 Å
α = 90.00°, β = 90.00°, γ = 90.00°
Positions (direct):
K  0.0000  0.0000  0.0000
Zn  0.0000  0.0000  0.5000
Ir  0.5000  0.5000  0.2976
Ir  0.5000  0.5000  0.7024

Symmetry   P4/mmm, No. 123
Total energy   -162.22 eV/cell
Calculated density   12.14 g/cm³
Magnetic moment   0.00 μB/f.u.

KZnIr2 | meta-GGA SCAN | single point on PBEsol structure

a = 5.4034 Å, b = 5.4034 Å, c = 2.5597 Å
α = 90.00°, β = 90.00°, γ = 116.64°
Positions (direct):
K  0.0000  0.0000  0.0000
Zn  0.5000  0.5000  0.0000
Ir  0.0000  0.5000  0.5000
Ir  0.5000  0.0000  0.5000

Symmetry   Cmmm, No. 65
Total energy   -160.81 eV/cell
Calculated density   12.15 g/cm³
Magnetic moment   0.00 μB/f.u.

KZn2Ir | meta-GGA SCAN | single point on PBEsol structure

a = 2.8726 Å, b = 3.6514 Å, c = 7.3248 Å
α = 90.00°, β = 90.00°, γ = 90.00°
Positions (direct):
K  0.0000  0.0000  0.0000
Zn  0.5000  0.5000  0.3334
Zn  0.5000  0.5000  0.6666
Ir  0.0000  0.0000  0.5000

Offset from the most stable computed form   0.0555 eV/atom
Symmetry   Pmmm, No. 47
Total energy   -106.03 eV/cell
Calculated density   7.83 g/cm³
Magnetic moment   0.00 μB/f.u.

KZn2Ir | meta-GGA SCAN | single point on PBEsol structure

a = 3.3319 Å, b = 3.3319 Å, c = 7.5813 Å
α = 90.00°, β = 90.00°, γ = 90.00°
Positions (direct):
K  0.0000  0.0000  0.0000
Zn  0.0000  0.0000  0.5724
Zn  0.5000  0.5000  0.3461
Ir  0.5000  0.5000  0.6725

Offset from the most stable computed form   0.1636 eV/atom
Symmetry   P4mm, No. 99
Total energy   -105.59 eV/cell
Calculated density   7.14 g/cm³
Magnetic moment   0.00 μB/f.u.

KZn2Ir | meta-GGA SCAN | single point on PBEsol structure

a = 2.8704 Å, b = 4.1254 Å, c = 7.3672 Å
α = 90.00°, β = 90.08°, γ = 90.00°
Positions (direct):
K  0.0000  0.0000  0.0000
Zn  0.5042  0.0000  0.6058
Zn  0.5035  0.5000  0.3459
Ir  0.0044  0.5000  0.6254

Offset from the most stable computed form   0.0000 eV/atom
Symmetry   Pm, No. 6
Total energy   -106.25 eV/cell
Calculated density   6.89 g/cm³
Magnetic moment   0.00 μB/f.u.

KZrIr2 | meta-GGA SCAN | single point on PBEsol structure

a = 4.6283 Å, b = 4.6283 Å, c = 4.6283 Å
α = 60.00°, β = 60.00°, γ = 60.00°
Positions (direct):
K  0.0000  0.0000  0.0000
Zr  0.2500  0.2500  0.2500
Ir  0.5000  0.5000  0.5000
Ir  0.7500  0.7500  0.7500

Offset from the most stable computed form   0.4107 eV/atom
Symmetry   F-43m, No. 216
Total energy   -179.09 eV/cell
Calculated density   12.19 g/cm³
Magnetic moment   0.00 μB/f.u.

KZrIr | meta-GGA SCAN | single point on PBEsol structure

a = 4.5595 Å, b = 4.5595 Å, c = 4.5595 Å
α = 60.00°, β = 60.00°, γ = 60.00°
Positions (direct):
K  0.0000  0.0000  0.0000
Zr  0.7500  0.7500  0.7500
Ir  0.5000  0.5000  0.5000

Symmetry   F-43m, No. 216
Total energy   -108.01 eV/cell
Calculated density   7.99 g/cm³
Magnetic moment   0.00 μB/f.u.

KZrIr2 | meta-GGA SCAN | single point on PBEsol structure

a = 2.8118 Å, b = 3.9475 Å, c = 8.5021 Å
α = 90.00°, β = 90.00°, γ = 90.00°
Positions (direct):
K  0.0000  0.0000  0.0000
Zr  0.5000  0.5000  0.4038
Ir  0.0000  0.0000  0.6012
Ir  0.5000  0.5000  0.7045

Offset from the most stable computed form   0.0566 eV/atom
Symmetry   Pmm2, No. 25
Total energy   -180.50 eV/cell
Calculated density   9.06 g/cm³
Magnetic moment   0.53 μB/f.u.

KZrIr2 | meta-GGA SCAN | single point on PBEsol structure

a = 4.6799 Å, b = 4.6799 Å, c = 4.6799 Å
α = 60.00°, β = 60.00°, γ = 60.00°
Positions (direct):
K  0.0000  0.0000  0.0000
Zr  0.5000  0.5000  0.5000
Ir  0.2500  0.2500  0.2500
Ir  0.7500  0.7500  0.7500

Offset from the most stable computed form   0.1607 eV/atom
Symmetry   Fm-3m, No. 225
Total energy   -180.09 eV/cell
Calculated density   11.79 g/cm³
Magnetic moment   0.00 μB/f.u.

KZrIr2 | meta-GGA SCAN | single point on PBEsol structure

a = 4.4753 Å, b = 4.4753 Å, c = 7.5014 Å
α = 96.87°, β = 96.87°, γ = 39.33°
Positions (direct):
K  0.0000  0.0000  0.0000
Zr  0.5000  0.5000  0.5000
Ir  0.2314  0.2314  0.6534
Ir  0.7686  0.7686  0.3466

Offset from the most stable computed form   0.0000 eV/atom
Symmetry   C2/m, No. 12
Total energy   -180.73 eV/cell
Calculated density   9.05 g/cm³
Magnetic moment   0.00 μB/f.u.

La5Ir3 | meta-GGA SCAN | single point on PBEsol structure

a = 11.2668 Å, b = 11.2668 Å, c = 6.4775 Å
α = 90.00°, β = 90.00°, γ = 90.00°
Positions (direct):
La  0.0419  0.1583  0.1164
La  0.0419  0.3417  0.6164
La  0.1583  0.0419  0.6164
La  0.1583  0.4581  0.1164
La  0.2500  0.7500  0.0000
La  0.2500  0.7500  0.5000
La  0.3417  0.0419  0.1164
La  0.3417  0.4581  0.6164
La  0.4581  0.1583  0.6164
La  0.4581  0.3417  0.1164
La  0.5419  0.6583  0.8836
La  0.5419  0.8417  0.3836
La  0.6583  0.5419  0.3836
La  0.6583  0.9581  0.8836
La  0.7500  0.2500  0.0000
La  0.7500  0.2500  0.5000
La  0.8417  0.5419  0.8836
La  0.8417  0.9581  0.3836
La  0.9581  0.6583  0.3836
La  0.9581  0.8417  0.8836
Ir  0.0954  0.5954  0.7500
Ir  0.0954  0.9046  0.2500
Ir  0.2500  0.2500  0.3802
Ir  0.2500  0.2500  0.8802
Ir  0.4046  0.5954  0.2500
Ir  0.4046  0.9046  0.7500
Ir  0.5954  0.0954  0.2500
Ir  0.5954  0.4046  0.7500
Ir  0.7500  0.7500  0.1198
Ir  0.7500  0.7500  0.6198
Ir  0.9046  0.0954  0.7500
Ir  0.9046  0.4046  0.2500

Offset from the most stable computed form   0.0000 eV/atom
Symmetry   P4/ncc, No. 130
Total energy   -1741.39 eV/cell
Calculated density   10.27 g/cm³
Magnetic moment   0.00 μB/f.u.

La5Ir3 | meta-GGA SCAN | single point on PBEsol structure

a = 8.3527 Å, b = 8.3527 Å, c = 6.7842 Å
α = 90.00°, β = 90.00°, γ = 120.00°
Positions (direct):
La  0.0000  0.2542  0.2500
La  0.0000  0.7458  0.7500
La  0.2542  0.0000  0.2500
La  0.2542  0.2542  0.7500
La  0.3333  0.6667  0.0000
La  0.3333  0.6667  0.5000
La  0.6667  0.3333  0.0000
La  0.6667  0.3333  0.5000
La  0.7458  0.0000  0.7500
La  0.7458  0.7458  0.2500
Ir  0.0000  0.3874  0.7500
Ir  0.0000  0.6126  0.2500
Ir  0.3874  0.0000  0.7500
Ir  0.3874  0.3874  0.2500
Ir  0.6126  0.0000  0.2500
Ir  0.6126  0.6126  0.7500

Offset from the most stable computed form   0.0475 eV/atom
Symmetry   P6_3/mcm, No. 193
Total energy   -869.93 eV/cell
Calculated density   10.30 g/cm³
Magnetic moment   0.00 μB/f.u.

La2Ir7 | meta-GGA SCAN | single point on PBEsol structure

a = 5.3293 Å, b = 5.3293 Å, c = 26.1757 Å
α = 90.00°, β = 90.00°, γ = 120.00°
Positions (direct):
La  0.3333  0.6667  0.0280
La  0.3333  0.6667  0.1738
La  0.3333  0.6667  0.3262
La  0.3333  0.6667  0.4720
La  0.6667  0.3333  0.5280
La  0.6667  0.3333  0.6738
La  0.6667  0.3333  0.8262
La  0.6667  0.3333  0.9720
Ir  0.0000  0.0000  0.0000
Ir  0.0000  0.0000  0.1680
Ir  0.0000  0.0000  0.3320
Ir  0.0000  0.0000  0.5000
Ir  0.0000  0.0000  0.6680
Ir  0.0000  0.0000  0.8320
Ir  0.1657  0.3315  0.5867
Ir  0.1657  0.3315  0.9133
Ir  0.1657  0.8343  0.5867
Ir  0.1657  0.8343  0.9133
Ir  0.1676  0.3352  0.7500
Ir  0.1676  0.8324  0.7500
Ir  0.3315  0.1657  0.0867
Ir  0.3315  0.1657  0.4133
Ir  0.3333  0.6667  0.6667
Ir  0.3333  0.6667  0.8333
Ir  0.3352  0.1676  0.2500
Ir  0.6648  0.8324  0.7500
Ir  0.6667  0.3333  0.1667
Ir  0.6667  0.3333  0.3333
Ir  0.6685  0.8343  0.5867
Ir  0.6685  0.8343  0.9133
Ir  0.8324  0.1676  0.2500
Ir  0.8324  0.6648  0.2500
Ir  0.8343  0.1657  0.0867
Ir  0.8343  0.1657  0.4133
Ir  0.8343  0.6685  0.0867
Ir  0.8343  0.6685  0.4133

Symmetry   P6_3/mmc, No. 194
Total energy   -2355.42 eV/cell
Calculated density   16.75 g/cm³
Magnetic moment   0.00 μB/f.u.